A relaxed La5Zn4Pt crystal. Source: Alexandria via LeMat-Bulk, functional PBE.

Properties
Mass density, Mg/m³: 7.3
Total moment, μB/cell: 0.000
E_form, meV per atom: -471
V, Å³/cell: 263

extended XYZ file:
```
10
Lattice="-0.6390 2.1800 2.9965 -0.8243 -3.0481 2.0418 17.8429 -1.5306 4.9186" Properties=species:S:1:pos:R:3 pbc="T T T"
La 0.9214 -0.5759 2.9748
La 4.5801 -0.8897 3.9834
La 8.1898 -1.1993 4.9784
La 11.7995 -1.5090 5.9735
La 15.4582 -1.8228 6.9820
Zn 3.5704 -0.3063 0.9842
Zn 7.1101 -0.6099 1.9600
Zn 10.7329 -0.9207 2.9586
Zn 14.2725 -1.2243 3.9343
Pt 0.0000 0.0000 0.0000
```


A relaxed ZrIr2Au crystal. Source: Alexandria via LeMat-Bulk, functional PBE.

Properties
Mass density, Mg/m³: 16.6
Total moment, μB/cell: 0.004
E_form, meV per atom: 62
Excess energy over the best structure of this formula in the dataset, meV/atom: 596
V, Å³/cell: 67

extended XYZ file:
```
4
Lattice="-6.1071 -4.9591 -5.6462 -3.6972 -5.4457 -7.1024 -4.3900 -7.1136 -4.8881" Properties=species:S:1:pos:R:3 pbc="T T T"
Au -10.5979 -13.0798 -13.1680
Ir -14.1374 -17.4481 -17.5658
Ir -3.6168 -4.4638 -4.4939
Zr -7.1339 -8.8045 -8.8639
```